AcEuBiTe: optimized geometry, PBE.

Cell: 5.7837 5.7837 5.7837 Å, 60.00 60.00 60.00°
Closest atoms and distances in Å follow each position.
Sites, in units of the cell vectors:
Ac: 0.0000 0.0000 0.0000  4 Bi 3.54, 4 Te 3.54
Eu: 0.5000 0.5000 0.5000  4 Bi 3.54, 4 Te 3.54
Bi: 0.7500 0.7500 0.7500  4 Eu 3.54, 4 Ac 3.54
Te: 0.2500 0.2500 0.2500  4 Eu 3.54, 4 Ac 3.54

Computed properties:
Formation energy without anion corrections (meV per atom): -1101